1.
# NaNbCu2Ge

A relaxed structure of NaNbCu2Ge (GGA-PBE, the Alexandria database).

The structure in POSCAR format:
```
NaNbCu2Ge
1.0
4.485 0.000 0.000
0.000 4.940 0.000
0.000 0.000 4.485
Na Cu Nb Ge
1 2 1 1
Direct
0.000 0.500 0.000
0.000 0.000 0.500
0.500 0.000 0.000
0.500 0.500 0.500
0.000 0.000 0.000
```

Computed properties:
M_tot: 2.64 Bohr magnetons per cell
SG: P4/mmm, No. 123
DFT formation energy: 0.986 eV per atom
crystal system: tetragonal

2.
# NaCuGe2O6

A relaxed structure of NaCuGe2O6 (GGA-PBE, the Alexandria database).

The structure in POSCAR format:
```
NaCuGe2O6
1.0
-4.078 3.984 -0.571
-3.235 -0.009 -6.578
-6.810 -2.632 0.658
Cu O Na Ge
2 12 2 4
Direct
0.750 0.824 0.176
0.250 0.176 0.824
0.417 0.932 0.360
0.890 0.969 0.242
0.610 0.758 0.031
0.366 0.354 0.314
0.866 0.314 0.354
0.110 0.031 0.758
0.134 0.686 0.646
0.583 0.068 0.640
0.917 0.360 0.932
0.634 0.646 0.686
0.390 0.242 0.969
0.083 0.640 0.068
0.250 0.707 0.293
0.750 0.293 0.707
0.661 0.169 0.370
0.839 0.630 0.831
0.339 0.831 0.630
0.161 0.370 0.169
```

Computed properties:
M_tot: 0.00 Bohr magnetons per cell
SG: C2/c, No. 15
ΔE_f (raw): -1.34 eV per atom
crystal system: monoclinic

3.
# Na2Cu3Ge4O12

A relaxed structure of Na2Cu3Ge4O12 (GGA-PBE, the Alexandria database).

The structure in POSCAR format:
```
Na2Cu3Ge4O12
1.0
5.553 -0.003 0.000
0.089 6.539 0.000
1.672 0.197 7.590
Na O Cu Ge
2 12 3 4
Direct
0.082 0.256 0.608
0.918 0.744 0.392
0.234 0.995 0.774
0.262 0.182 0.041
0.587 0.655 0.643
0.700 0.124 0.584
0.065 0.602 0.683
0.715 0.358 0.898
0.285 0.642 0.102
0.413 0.345 0.357
0.935 0.398 0.317
0.766 0.005 0.226
0.300 0.876 0.416
0.738 0.818 0.959
0.000 0.000 0.000
0.499 0.826 0.185
0.501 0.174 0.815
0.309 0.786 0.629
0.754 0.610 0.817
0.691 0.214 0.371
0.246 0.390 0.183
```

Computed properties:
M_tot: 0.99 Bohr magnetons per cell
SG: P-1, No. 2
ΔE_f (raw): -1.36 eV per atom
crystal system: triclinic

4.
# Na2Cu4GeP3

A relaxed structure of Na2Cu4GeP3 (GGA-PBE, the Alexandria database).

The structure in POSCAR format:
```
Na2Cu4GeP3
1.0
-2.023 1.864 -2.862
1.973 -2.078 -2.747
-7.125 -7.214 0.339
Na Cu P Ge
2 4 3 1
Direct
0.000 0.500 0.762
0.500 0.000 0.238
0.000 0.000 0.000
0.500 0.500 0.000
0.500 0.000 0.644
0.000 0.500 0.356
0.500 0.000 0.870
0.000 0.000 0.500
0.000 0.500 0.130
0.500 0.500 0.500
```

Computed properties:
M_tot: 0.00 Bohr magnetons per cell
SG: P-4m2, No. 115
DFT formation energy: -0.174 eV per atom
crystal system: tetragonal

5.
# NaCuGePb2

A relaxed structure of NaCuGePb2 (GGA-PBE, the Alexandria database).

The structure in POSCAR format:
```
NaCuGePb2
1.0
-0.082 5.299 -1.665
-0.768 -1.617 -5.107
-5.498 0.159 0.776
Pb Cu Ge Na
2 1 1 1
Direct
0.500 0.000 0.000
0.000 0.000 0.500
0.500 0.500 0.500
0.000 0.000 0.000
0.000 0.500 0.000
```

Computed properties:
M_tot: 0.00 Bohr magnetons per cell
SG: P4/mmm, No. 123
DFT formation energy: 0.631 eV per atom
crystal system: tetragonal

6.
# Na2CuGe2Pd5

A relaxed structure of Na2CuGe2Pd5 (GGA-PBE, the Alexandria database).

The structure in POSCAR format:
```
Na2CuGe2Pd5
1.0
2.952 0.000 0.000
0.000 10.756 0.000
0.000 0.000 10.756
Pd Na Ge Cu
10 4 4 2
Direct
0.500 0.808 0.940
0.500 0.940 0.192
0.500 0.440 0.308
0.500 0.192 0.060
0.500 0.560 0.692
0.500 0.060 0.808
0.500 0.308 0.560
0.500 0.500 0.000
0.500 0.000 0.500
0.500 0.692 0.440
0.000 0.828 0.672
0.000 0.328 0.828
0.000 0.672 0.172
0.000 0.172 0.328
0.000 0.364 0.136
0.000 0.636 0.864
0.000 0.864 0.364
0.000 0.136 0.636
0.000 0.500 0.500
0.000 0.000 0.000
```

Computed properties:
M_tot: 0.00 Bohr magnetons per cell
SG: P4/mbm, No. 127
DFT formation energy: -0.328 eV per atom
crystal system: tetragonal

> Look up the M_tot of the second one.

0.00 Bohr magnetons per cell